AcLaMgIn | PBE | relaxed

Summary:
Its energy of formation from the pure elements is -0.294 eV per atom. The energy comes out at -3.636 eV/atom. The volume is 32.8 A^3/atom. For the total magnetization, the calculation gives 0.00 μB/cell. The density of states at the Fermi level comes out at 4.39 states/eV per cell.

abc: 5.7017 5.7017 5.7017
angles: 60.00 60.00 60.00
Fractional positions:
Ac: 0.0000 0.0000 0.0000
La: 0.5000 0.5000 0.5000
Mg: 0.7500 0.7500 0.7500
In: 0.2500 0.2500 0.2500